Computed, not measured: TlSiAu2 at its PBEsol-relaxed geometry at the meta-GGA SCAN level of DFT.

## Properties
Raw formation energy ... 0.009 eV per atom
D(E_F) ... 0.363 states/eV/atom
DFT total energy ... -55.1626 eV per atom

```
4
Lattice="-2.415 1.893 -0.963 -1.027 -4.265 -0.440 -1.494 1.203 6.109" Properties=species:S:1:pos:R:3 pbc="T T T"
Tl -3.027 -0.882 0.488
Au -1.712 0.837 5.937
Au -1.561 -0.384 3.159
Si -3.111 -2.257 3.364
```